# 1
First-principles (PBE) data for BaMgAs2 after structural relaxation, as listed in Alexandria.

a = 6.476 Å, b = 6.476 Å, c = 6.476 Å
α = 41.87°, β = 41.87°, γ = 41.87°
Sites, in units of the cell vectors:
Ba1 0.000 0.000 0.000
Mg1 0.500 0.500 0.500
As1 0.222 0.222 0.222
As2 0.778 0.778 0.778

Values from the calculation:
The crystal system is trigonal. For the formation energy, the calculation gives -52.9 kJ per mole of atoms.


# 2
First-principles (PBE) data for NaTbTlPt after structural relaxation, as listed in Alexandria.

a = 4.958 Å, b = 4.958 Å, c = 4.958 Å
α = 60.00°, β = 60.00°, γ = 60.00°
Sites, in units of the cell vectors:
Na1 0.000 0.000 0.000
Tb1 0.750 0.750 0.750
Tl1 0.250 0.250 0.250
Pt1 0.500 0.500 0.500

Values from the calculation:
The crystal system is cubic. For the formation energy, the calculation gives -41.7 kJ per mole of atoms.